[1]
K2MnO4 PBE with a Hubbard U relaxed; crystal system = tetragonal; spin magnetization = 5.06 μB per formula unit; calculated volume = 103.29 Å³ per cell; energy above the lowest structure with this stoichiometry = 269.1 meV per atom; total energy = -36.91 eV/cell
1.0
-1.944 1.944 6.829
1.944 -1.944 6.829
1.944 1.944 -6.829
K Mn O
2 1 4
Direct
0.153 0.153 0.000
0.847 0.847 0.000
0.500 0.500 0.000
0.000 0.500 0.500
0.363 0.363 0.000
0.500 0.000 0.500
0.637 0.637 0.000

[2]
KMn3O PBE with a Hubbard U relaxed; crystal system = cubic; spin magnetization = 16.14 μB per formula unit; calculated volume = 276.12 Å³ per cell; energy above the lowest structure with this stoichiometry = 1646.7 meV per atom; total energy = -18.69 eV/cell
1.0
6.512 0.000 0.000
0.000 6.512 0.000
0.000 0.000 6.512
K Mn O
1 3 1
Direct
0.000 0.000 0.000
0.000 0.000 0.500
0.000 0.500 0.000
0.500 0.000 0.000
0.500 0.500 0.500

[3]
K3MnO4 PBE with a Hubbard U relaxed; crystal system = orthorhombic; spin magnetization = 2.00 μB per formula unit; calculated volume = 580.95 Å³ per cell; total energy = -169.47 eV/cell
1.0
7.813 0.000 0.000
0.000 8.668 0.000
0.000 0.000 8.578
K Mn O
12 4 16
Direct
0.043 0.026 0.222
0.043 0.474 0.222
0.166 0.750 0.481
0.334 0.250 0.981
0.457 0.526 0.722
0.457 0.974 0.722
0.543 0.026 0.278
0.543 0.474 0.278
0.666 0.750 0.019
0.834 0.250 0.519
0.957 0.526 0.778
0.957 0.974 0.778
0.221 0.750 0.986
0.279 0.250 0.486
0.721 0.750 0.514
0.779 0.250 0.014
0.014 0.750 0.057
0.174 0.085 0.544
0.174 0.415 0.544
0.211 0.750 0.784
0.289 0.250 0.284
0.326 0.585 0.044
0.326 0.915 0.044
0.486 0.250 0.557
0.514 0.750 0.443
0.674 0.085 0.956
0.674 0.415 0.956
0.711 0.750 0.716
0.789 0.250 0.216
0.826 0.585 0.456
0.826 0.915 0.456
0.986 0.250 0.943

[4]
KMnO2 PBE with a Hubbard U relaxed; crystal system = tetragonal; spin magnetization = 4.00 μB per formula unit; calculated volume = 237.96 Å³ per cell; total energy = -97.56 eV/cell
1.0
-3.169 3.169 5.924
3.169 -3.169 5.924
3.169 3.169 -5.924
K Mn O
4 4 8
Direct
0.384 0.145 0.239
0.855 0.095 0.239
0.855 0.616 0.761
0.905 0.145 0.761
0.331 0.587 0.744
0.413 0.157 0.744
0.413 0.669 0.256
0.843 0.587 0.256
0.095 0.403 0.308
0.095 0.787 0.692
0.203 0.400 0.803
0.213 0.905 0.308
0.597 0.400 0.197
0.597 0.905 0.692
0.600 0.403 0.803
0.600 0.797 0.197